Entry 1:
Material: Ti2BRh
Method: DFT, GGA-PBE
State: relaxed

abc: 6.9414 6.9414 4.5573
angles: 90.00 90.00 90.00
Sites, in units of the cell vectors:
Ti (0.1840, 0.7500, 0.1250)
Ti (0.2500, 0.1840, 0.8750)
Ti (0.2500, 0.3160, 0.3750)
Ti (0.3160, 0.7500, 0.6250)
Ti (0.6840, 0.2500, 0.6250)
Ti (0.7500, 0.6840, 0.3750)
Ti (0.7500, 0.8160, 0.8750)
Ti (0.8160, 0.2500, 0.1250)
B (0.0000, 0.0000, 0.0000)
B (0.0000, 0.5000, 0.2500)
B (0.5000, 0.0000, 0.7500)
B (0.5000, 0.5000, 0.5000)
Rh (0.0000, 0.0000, 0.5000)
Rh (0.0000, 0.5000, 0.7500)
Rh (0.5000, 0.0000, 0.2500)
Rh (0.5000, 0.5000, 0.0000)

## Properties
Final energy ... -7.51 eV per atom
DOS at the Fermi energy ... 1.119 states/eV/atom

=====

Entry 2:
Material: ErCo2Si2Ni
Method: DFT, GGA-PBE
State: relaxed

abc: 4.2322 4.2322 5.1086
angles: 90.00 90.00 90.00
Sites, in units of the cell vectors:
Er (0.0000, 0.0000, 0.0000)
Co (0.5000, 0.5000, 0.2438)
Co (0.5000, 0.5000, 0.7562)
Si (0.0000, 0.5000, 0.5000)
Si (0.5000, 0.0000, 0.5000)
Ni (0.0000, 0.0000, 0.5000)

## Properties
Final energy ... -6.04 eV per atom
DOS at the Fermi energy ... 0.944 states/eV/atom

=====

Entry 3:
Material: Zr4ScIn5
Method: DFT, GGA-PBE
State: relaxed

abc: 3.1653 3.1653 22.1515
angles: 90.00 90.00 90.00
Sites, in units of the cell vectors:
Zr (0.0000, 0.0000, 0.1000)
Zr (0.0000, 0.0000, 0.2991)
Zr (0.0000, 0.0000, 0.7009)
Zr (0.0000, 0.0000, 0.9000)
Sc (0.0000, 0.0000, 0.5000)
In (0.5000, 0.5000, 0.0000)
In (0.5000, 0.5000, 0.1996)
In (0.5000, 0.5000, 0.4001)
In (0.5000, 0.5000, 0.5999)
In (0.5000, 0.5000, 0.8004)

## Properties
Final energy ... -5.76 eV per atom
DOS at the Fermi energy ... 0.866 states/eV/atom

=====

Entry 4:
Material: Y2CrPb
Method: DFT, GGA-PBE
State: relaxed

abc: 4.7467 3.7642 11.8946
angles: 90.00 90.00 90.00
Sites, in units of the cell vectors:
Y (0.0000, 0.0000, 0.0000)
Y (0.0000, 0.5000, 0.5000)
Y (0.5000, 0.0000, 0.3130)
Y (0.5000, 0.5000, 0.8130)
Cr (0.5000, 0.0000, 0.5765)
Cr (0.5000, 0.5000, 0.0765)
Pb (0.0000, 0.0000, 0.7234)
Pb (0.0000, 0.5000, 0.2234)

## Properties
Final energy ... -6.62 eV per atom
DOS at the Fermi energy ... 0.933 states/eV/atom

=====

Entry 5:
Material: InP2PdO
Method: DFT, GGA-PBE
State: relaxed

abc: 5.0950 5.0950 3.9222
angles: 90.00 90.00 90.00
Sites, in units of the cell vectors:
In (0.0000, 0.0000, 0.0000)
P (0.0000, 0.5000, 0.0000)
P (0.5000, 0.0000, 0.0000)
Pd (0.5000, 0.5000, 0.5000)
O (0.0000, 0.0000, 0.5000)

## Properties
Final energy ... -3.94 eV per atom
DOS at the Fermi energy ... 0.854 states/eV/atom

=====

Entry 6:
Material: Ac2GeIrPt6
Method: DFT, GGA-PBE
State: relaxed

abc: 6.6841 6.6841 8.7561
angles: 127.73 127.73 48.41
Sites, in units of the cell vectors:
Ac (0.2347, 0.2347, 0.1931)
Ac (0.7653, 0.7653, 0.8069)
Ge (0.0000, 0.0000, 0.5000)
Ir (0.5000, 0.5000, 0.0000)
Pt (0.2421, 0.7415, 0.7358)
Pt (0.2483, 0.2483, 0.6066)
Pt (0.2585, 0.7579, 0.2642)
Pt (0.7415, 0.2421, 0.7358)
Pt (0.7517, 0.7517, 0.3934)
Pt (0.7579, 0.2585, 0.2642)

## Properties
Final energy ... -6.55 eV per atom
DOS at the Fermi energy ... 0.543 states/eV/atom

=====

Entry 7:
Material: CeDyPuTl
Method: DFT, GGA-PBE
State: relaxed

abc: 7.5796 7.5796 7.5796
angles: 90.00 90.00 90.00
Sites, in units of the cell vectors:
Ce (0.0000, 0.0000, 0.0000)
Ce (0.0000, 0.5000, 0.5000)
Ce (0.5000, 0.0000, 0.5000)
Ce (0.5000, 0.5000, 0.0000)
Dy (0.2500, 0.2500, 0.7500)
Dy (0.2500, 0.7500, 0.2500)
Dy (0.7500, 0.2500, 0.2500)
Dy (0.7500, 0.7500, 0.7500)
Pu (0.2500, 0.2500, 0.2500)
Pu (0.2500, 0.7500, 0.7500)
Pu (0.7500, 0.2500, 0.7500)
Pu (0.7500, 0.7500, 0.2500)
Tl (0.0000, 0.0000, 0.5000)
Tl (0.0000, 0.5000, 0.0000)
Tl (0.5000, 0.0000, 0.0000)
Tl (0.5000, 0.5000, 0.5000)

## Properties
Final energy ... -6.77 eV per atom
DOS at the Fermi energy ... 2.037 states/eV/atom

=====

Entry 8:
Material: Li2Nd3Cd4
Method: DFT, GGA-PBE
State: relaxed

abc: 5.4374 5.4374 9.2223
angles: 97.30 97.30 58.64
Sites, in units of the cell vectors:
Li (0.2237, 0.2237, 0.3992)
Li (0.7763, 0.7763, 0.6008)
Nd (0.1248, 0.1248, 0.7364)
Nd (0.5000, 0.5000, 0.0000)
Nd (0.8752, 0.8752, 0.2636)
Cd (0.1859, 0.1859, 0.0981)
Cd (0.4402, 0.4402, 0.6362)
Cd (0.5598, 0.5598, 0.3638)
Cd (0.8141, 0.8141, 0.9019)

## Properties
Final energy ... -2.67 eV per atom
DOS at the Fermi energy ... 0.814 states/eV/atom

=====

Entry 9:
Material: Ti3IO
Method: DFT, GGA-PBE
State: relaxed

abc: 4.9947 4.9947 4.9947
angles: 90.00 90.00 90.00
Sites, in units of the cell vectors:
Ti (0.0000, 0.0000, 0.5000)
Ti (0.0000, 0.5000, 0.0000)
Ti (0.5000, 0.0000, 0.0000)
I (0.0000, 0.0000, 0.0000)
O (0.5000, 0.5000, 0.5000)

## Properties
Final energy ... -4.58 eV per atom
DOS at the Fermi energy ... 1.424 states/eV/atom

=====

Entry 10:
Material: GdH9C5N2O8
Method: DFT, GGA-PBE
State: relaxed

abc: 6.8250 6.8250 6.6600
angles: 106.66 106.66 65.01
Sites, in units of the cell vectors:
Gd (0.0000, 0.0000, 0.0000)
H (0.0745, 0.9255, 0.5000)
H (0.2074, 0.3643, 0.4032)
H (0.4383, 0.5367, 0.8245)
H (0.4633, 0.5617, 0.1755)
H (0.4652, 0.1626, 0.1140)
H (0.4891, 0.2695, 0.5344)
H (0.6357, 0.7926, 0.5968)
H (0.7305, 0.5109, 0.4656)
H (0.8374, 0.5348, 0.8860)
C (0.2896, 0.5345, 0.7033)
C (0.4655, 0.7104, 0.2967)
C (0.4704, 0.0495, 0.9565)
C (0.9243, 0.0757, 0.5000)
C (0.9505, 0.5296, 0.0435)
N (0.3295, 0.3756, 0.5344)
N (0.6244, 0.6705, 0.4656)
O (0.0014, 0.3628, 0.1262)
O (0.0191, 0.6847, 0.1281)
O (0.1020, 0.6742, 0.7306)
O (0.3153, 0.9809, 0.8719)
O (0.3258, 0.8980, 0.2694)
O (0.6372, 0.9986, 0.8738)
O (0.8376, 0.1504, 0.6656)
O (0.8496, 0.1624, 0.3344)

## Properties
Final energy ... -6.88 eV per atom
DOS at the Fermi energy ... 0.000 states/eV/atom

=====

Entry 11:
Material: Al2S3
Method: DFT, GGA-PBE
State: relaxed

abc: 15.8866 15.8866 15.8866
angles: 154.22 154.22 36.78
Sites, in units of the cell vectors:
Al (0.0000, 0.0000, 0.0000)
Al (0.0000, 0.0000, 0.5000)
Al (0.0000, 0.5000, 0.0000)
Al (0.1477, 0.6684, 0.4793)
Al (0.2046, 0.4546, 0.7500)
Al (0.3108, 0.3316, 0.9793)
Al (0.3316, 0.3108, 0.4793)
Al (0.3316, 0.8523, 0.0207)
Al (0.4546, 0.2046, 0.2500)
Al (0.5000, 0.0000, 0.5000)
Al (0.5454, 0.7954, 0.7500)
Al (0.6684, 0.1477, 0.9793)
Al (0.6684, 0.6892, 0.5207)
Al (0.6892, 0.6684, 0.0207)
Al (0.7954, 0.5454, 0.2500)
Al (0.8523, 0.3316, 0.5207)
S (0.0778, 0.0906, 0.5128)
S (0.0778, 0.5650, 0.9872)
S (0.0906, 0.0778, 0.0128)
S (0.1067, 0.5871, 0.5196)
S (0.2424, 0.7496, 0.4927)
S (0.2431, 0.2504, 0.9927)
S (0.2504, 0.2431, 0.4927)
S (0.2504, 0.7576, 0.0073)
S (0.4129, 0.4326, 0.5196)
S (0.4129, 0.8933, 0.9804)
S (0.4326, 0.4129, 0.0196)
S (0.4350, 0.9222, 0.5128)
S (0.5650, 0.0778, 0.4872)
S (0.5674, 0.5871, 0.9804)
S (0.5871, 0.1067, 0.0196)
S (0.5871, 0.5674, 0.4804)
S (0.7496, 0.2424, 0.9927)
S (0.7496, 0.7569, 0.5073)
S (0.7569, 0.7496, 0.0073)
S (0.7576, 0.2504, 0.5073)
S (0.8933, 0.4129, 0.4804)
S (0.9094, 0.9222, 0.9872)
S (0.9222, 0.4350, 0.0128)
S (0.9222, 0.9094, 0.4872)

## Properties
Final energy ... -5.03 eV per atom
DOS at the Fermi energy ... 0.000 states/eV/atom

=====

Magnetic moment across the listed records, respectively: 0.000 0.139 0.046 0.847 0.214 0.000 2.135 0.000 0.721 0.276 0.000 μB/atom.